{
  "formula": "Cs4HPd2",
  "functional": "PBE-GGA",
  "state": "relaxed",
  "lattice": [[-2.1127, -6.0988, -0.1418], [4.0071, -1.2742, -4.8989], [6.3775, -5.6830, 2.4407]],
  "species": ["Cs", "H", "Cs", "Cs", "Pd", "Pd", "Cs"],
  "fractional_positions": [[0.5000, 0.0000, 0.0000], [0.0000, 0.0000, 0.0000], [0.8061, 0.8061, 0.3878], [0.1939, 0.1939, 0.6122], [0.4113, 0.4113, 0.1774], [0.5887, 0.5887, 0.8226], [0.0000, 0.5000, 0.0000]],
  "e_tot_ev_per_cell": -16.41
}


{
  "formula": "Cs2H3Pd2",
  "functional": "PBE-GGA",
  "state": "relaxed",
  "lattice": [[3.2651, 0.1345, -0.3160], [-1.4355, 6.6311, 1.1302], [-0.6384, 0.1724, 6.6504]],
  "species": ["Pd", "Cs", "Pd", "H", "Cs", "H", "H"],
  "fractional_positions": [[0.3370, 0.8357, 0.1562], [0.2929, 0.2925, 0.2951], [0.6630, 0.1643, 0.8438], [0.8437, 0.7264, 0.2516], [0.7071, 0.7075, 0.7049], [0.0000, 0.0000, 0.0000], [0.1563, 0.2736, 0.7484]],
  "e_tot_ev_per_cell": -22.65
}